A relaxed TbGdGaFe crystal. Source: Alexandria, functional PBE.

abc: 4.977 4.977 4.977
angles: 60.00 60.00 60.00
Fractional positions:
Tb  0.000  0.000  0.000
Gd  0.500  0.500  0.500
Ga  0.250  0.250  0.250
Fe  0.750  0.750  0.750

Crystal system   cubic
Space group   F-43m, No. 216
Formation enthalpy at 0 K   -0.700 eV/f.u.
Calculated total energy   -30.9 eV/cell